1.
Below is an optimized crystal structure of AlIrW2, with properties calculated at the GGA-PBE level.

Cell lengths 2.8227, 2.8227, 26.9680 Å; angles 90.00, 90.00, 120.00 degrees
Space group R3m (No. 160, hexagonal axes)
One atom of each set of equivalent atoms:
1 Al 0.0000 0.0000 0.0000 x3
2 Ir 0.0000 0.0000 0.2551 x3
3 W 0.0000 0.0000 0.5082 x3
4 W 0.0000 0.0000 0.7515 x3

The density of states at the Fermi level comes out at 0.53 states/eV/atom. The energy relative to the elements is -47 meV/atom.

***

2.
Below is an optimized crystal structure of TlAs2PSe, with properties calculated at the GGA-PBE level.

Cell lengths 4.8481, 4.8481, 5.1196 Å; angles 90.00, 90.00, 90.00 degrees
Space group P4/mmm (No. 123)
One atom of each set of equivalent atoms:
1 Tl 0.0000 0.0000 0.0000 x1
2 As 0.0000 0.5000 0.5000 x2
3 P 0.5000 0.5000 0.5000 x1
4 Se 0.5000 0.5000 0.0000 x1

The raw formation energy comes out at 0.422 eV per atom. The density of states at the Fermi level comes out at 1.04 states/eV/atom.

***

3.
Below is an optimized crystal structure of K2Si2Br, with properties calculated at the GGA-PBE level.

Cell lengths 3.6669, 3.6669, 20.0444 Å; angles 90.00, 90.00, 90.00 degrees
Space group I4/mmm (No. 139)
One atom of each set of equivalent atoms:
1 K 0.0000 0.0000 0.1022 x4
2 Si 0.0000 0.5000 0.2500 x4
3 Br 0.0000 0.0000 0.5000 x2

The raw formation energy comes out at -0.458 eV per atom. The density of states at the Fermi level comes out at 0.36 states/eV/atom.

***

4.
Below is an optimized crystal structure of NaPr2Pt, with properties calculated at the GGA-PBE level.

Cell lengths 4.3013, 4.3013, 27.3556 Å; angles 90.00, 90.00, 120.00 degrees
Space group R3m (No. 160, hexagonal axes)
One atom of each set of equivalent atoms:
1 Na 0.0000 0.0000 0.0000 x3
2 Pr 0.0000 0.0000 0.5541 x3
3 Pr 0.0000 0.0000 0.7776 x3
4 Pt 0.0000 0.0000 0.1657 x3

The density of states at the Fermi level comes out at 0.81 states/eV/atom. The energy relative to the elements is -471 meV/atom.

***

5.
Below is an optimized crystal structure of PmLuTlZn, with properties calculated at the GGA-PBE level.

Cell lengths 7.4225, 7.4225, 7.4225 Å; angles 90.00, 90.00, 90.00 degrees
Space group F-43m (No. 216)
One atom of each set of equivalent atoms:
1 Pm 0.0000 0.0000 0.0000 x4
2 Lu 0.0000 0.0000 0.5000 x4
3 Tl 0.2500 0.2500 0.7500 x4
4 Zn 0.2500 0.2500 0.2500 x4

The density of states at the Fermi level comes out at 0.98 states/eV/atom. The energy relative to the elements is -304 meV/atom.

***

6.
Below is an optimized crystal structure of CeNd2ErTm, with properties calculated at the GGA-PBE level.

Cell lengths 6.7056, 8.1516, 6.0843 Å; angles 90.00, 90.52, 90.00 degrees
Space group P2/c (No. 13)
One atom of each set of equivalent atoms:
1 Ce 0.0000 0.0000 0.0000 x2
2 Nd 0.2647 0.3106 0.2537 x4
3 Er 0.0000 0.3538 0.7500 x2
4 Tm 0.5000 0.1231 0.7500 x2

The density of states at the Fermi level comes out at 2.17 states/eV/atom. The energy relative to the elements is 281 meV/atom.

***

7.
Below is an optimized crystal structure of Li3TeO4, with properties calculated at the GGA-PBE level.

Cell lengths 4.2127, 7.0848, 6.1922 Å; angles 90.00, 90.00, 90.00 degrees
Space group Pmmn (No. 59, origin choice 2)
One atom of each set of equivalent atoms:
1 Li 0.2500 0.0169 0.1563 x4
2 Li 0.2500 0.7500 0.6934 x2
3 Te 0.2500 0.2500 0.6593 x2
4 O 0.2500 0.0183 0.8297 x4
5 O 0.2500 0.2500 0.3395 x2
6 O 0.2500 0.7500 0.3424 x2

The raw formation energy comes out at -1.590 eV per atom. The density of states at the Fermi level comes out at 0.32 states/eV/atom.

***

8.
Below is an optimized crystal structure of Ac8Y4Er, with properties calculated at the GGA-PBE level.

Cell lengths 11.7855, 11.7855, 14.4172 Å; angles 90.00, 90.00, 120.00 degrees
Space group R-3m (No. 166, hexagonal axes)
One atom of each set of equivalent atoms:
1 Ac 0.0000 0.0000 0.2432 x6
2 Ac 0.0088 0.5044 0.7475 x18
3 Y 0.0000 0.0000 0.0000 x3
4 Y 0.0000 0.5000 0.0000 x9
5 Er 0.0000 0.0000 0.5000 x3

The density of states at the Fermi level comes out at 1.56 states/eV/atom. The energy relative to the elements is 404 meV/atom.

***

9.
Below is an optimized crystal structure of Ce3Be2Pt4, with properties calculated at the GGA-PBE level.

Cell lengths 10.3201, 4.2560, 8.5357 Å; angles 90.00, 112.57, 90.00 degrees
Space group C2/m (No. 12)
One atom of each set of equivalent atoms:
1 Ce 0.0000 0.0000 0.0000 x2
2 Ce 0.1322 0.5000 0.6861 x4
3 Be 0.1675 0.5000 0.3338 x4
4 Pt 0.1132 0.0000 0.4147 x4
5 Pt 0.2106 0.5000 0.0855 x4

The density of states at the Fermi level comes out at 1.60 states/eV/atom. The energy relative to the elements is -900 meV/atom.

***

10.
Below is an optimized crystal structure of KRb3O, with properties calculated at the GGA-PBE level.

Cell lengths 6.0943, 6.0943, 6.0943 Å; angles 90.00, 90.00, 90.00 degrees
Space group Pm-3m (No. 221)
One atom of each set of equivalent atoms:
1 K 0.0000 0.0000 0.0000 x1
2 Rb 0.0000 0.5000 0.5000 x3
3 O 0.5000 0.5000 0.5000 x1

The raw formation energy comes out at -0.407 eV per atom. The density of states at the Fermi level comes out at 0.30 states/eV/atom.

***

11.
Below is an optimized crystal structure of AcPrNdGe, with properties calculated at the GGA-PBE level.

Cell lengths 7.8714, 7.8714, 7.8714 Å; angles 90.00, 90.00, 90.00 degrees
Space group F-43m (No. 216)
One atom of each set of equivalent atoms:
1 Ac 0.0000 0.0000 0.0000 x4
2 Pr 0.2500 0.2500 0.7500 x4
3 Nd 0.2500 0.2500 0.2500 x4
4 Ge 0.0000 0.0000 0.5000 x4

The density of states at the Fermi level comes out at 1.55 states/eV/atom. The energy relative to the elements is -50 meV/atom.

***

12.
Below is an optimized crystal structure of SiGeRuRh, with properties calculated at the GGA-PBE level.

Cell lengths 6.0337, 6.0337, 6.0337 Å; angles 90.00, 90.00, 90.00 degrees
Space group F-43m (No. 216)
One atom of each set of equivalent atoms:
1 Si 0.0000 0.0000 0.0000 x4
2 Ge 0.0000 0.0000 0.5000 x4
3 Ru 0.2500 0.2500 0.2500 x4
4 Rh 0.2500 0.2500 0.7500 x4

The raw formation energy comes out at -0.380 eV per atom. The density of states at the Fermi level comes out at 0.92 states/eV/atom.

***

13.
Below is an optimized crystal structure of Ba5Hg2PtO, with properties calculated at the GGA-PBE level.

Cell lengths 4.6184, 20.5692, 14.9486 Å; angles 90.00, 90.00, 90.00 degrees
Space group Cmc2_1 (No. 36)
One atom of each set of equivalent atoms:
1 Ba 0.0000 0.0011 0.0000 x4
2 Ba 0.0000 0.1507 0.2287 x4
3 Ba 0.0000 0.1796 0.6034 x4
4 Ba 0.0000 0.2105 0.8899 x4
5 Ba 0.0000 0.4564 0.2249 x4
6 Hg 0.0000 0.3677 0.5470 x4
7 Hg 0.0000 0.3869 0.9045 x4
8 Pt 0.0000 0.2999 0.2481 x4
9 O 0.0000 0.0564 0.6445 x4

The raw formation energy comes out at -0.954 eV per atom. The density of states at the Fermi level comes out at 0.75 states/eV/atom.

***

14.
Below is an optimized crystal structure of PuVP, with properties calculated at the GGA-PBE level.

Cell lengths 7.6077, 8.1561, 7.4232 Å; angles 90.00, 90.00, 90.00 degrees
Space group Cmce (No. 64)
One atom of each set of equivalent atoms:
1 Pu 0.1923 0.0000 0.0000 x8
2 V 0.0000 0.0987 0.3458 x8
3 P 0.0000 0.1881 0.6447 x8

The density of states at the Fermi level comes out at 2.65 states/eV/atom. The energy relative to the elements is -328 meV/atom.

***

15.
Below is an optimized crystal structure of Zn2Pd5Pt3, with properties calculated at the GGA-PBE level.

Cell lengths 10.3574, 12.4448, 5.3502 Å; angles 90.00, 90.00, 90.00 degrees
Space group Ibam (No. 72)
One atom of each set of equivalent atoms:
1 Zn 0.1136 0.1477 0.0000 x8
2 Pd 0.0000 0.5000 0.2500 x4
3 Pd 0.1415 0.3380 0.0000 x8
4 Pd 0.2482 0.0000 0.2500 x8
5 Pt 0.0000 0.0000 0.2500 x4
6 Pt 0.1320 0.3150 0.5000 x8

The density of states at the Fermi level comes out at 1.09 states/eV/atom. The energy relative to the elements is 103 meV/atom.

***

16.
Below is an optimized crystal structure of CdPt2W, with properties calculated at the GGA-PBE level.

Cell lengths 6.4201, 6.4201, 6.4201 Å; angles 90.00, 90.00, 90.00 degrees
Space group F-43m (No. 216)
One atom of each set of equivalent atoms:
1 Cd 0.0000 0.0000 0.0000 x4
2 Pt 0.0000 0.0000 0.5000 x4
3 Pt 0.2500 0.2500 0.7500 x4
4 W 0.2500 0.2500 0.2500 x4

The density of states at the Fermi level comes out at 0.40 states/eV/atom. The energy relative to the elements is 217 meV/atom.

***

17.
Below is an optimized crystal structure of TaTiRh6, with properties calculated at the GGA-PBE level.

Cell lengths 5.4865, 5.4865, 3.8704 Å; angles 90.00, 90.00, 90.00 degrees
Space group P4/mmm (No. 123)
One atom of each set of equivalent atoms:
1 Ta 0.0000 0.0000 0.0000 x1
2 Ti 0.5000 0.5000 0.0000 x1
3 Rh 0.0000 0.5000 0.0000 x2
4 Rh 0.2512 0.2512 0.5000 x4

The density of states at the Fermi level comes out at 0.77 states/eV/atom. The energy relative to the elements is -620 meV/atom.

***

18.
Below is an optimized crystal structure of K3PN4, with properties calculated at the GGA-PBE level.

Cell lengths 10.3184, 6.6908, 5.3645 Å; angles 90.00, 121.23, 90.00 degrees
Space group C2 (No. 5)
One atom of each set of equivalent atoms:
1 K 0.0000 0.0000 0.0000 x2
2 K 0.2328 0.5143 0.2333 x4
3 P 0.0000 0.5491 0.5000 x2
4 N 0.0005 0.2961 0.3789 x4
5 N 0.1649 0.6392 0.6661 x4

The raw formation energy comes out at -0.034 eV per atom.

***

19.
Below is an optimized crystal structure of TiZn3Pd6, with properties calculated at the GGA-PBE level.

Cell lengths 8.2260, 4.0470, 8.9753 Å; angles 90.00, 96.12, 90.00 degrees
Space group P2_1/m (No. 11)
One atom of each set of equivalent atoms:
1 Ti 0.0577 0.2500 0.3798 x2
2 Zn 0.2477 0.2500 0.0167 x2
3 Zn 0.3497 0.7500 0.8088 x2
4 Zn 0.4512 0.2500 0.6027 x2
5 Pd 0.0618 0.7500 0.9052 x2
6 Pd 0.1493 0.7500 0.2133 x2
7 Pd 0.1579 0.2500 0.7016 x2
8 Pd 0.2503 0.7500 0.5114 x2
9 Pd 0.3666 0.2500 0.3100 x2
10 Pd 0.4576 0.7500 0.1015 x2

The density of states at the Fermi level comes out at 0.38 states/eV/atom. The energy relative to the elements is -551 meV/atom.

***

20.
Below is an optimized crystal structure of BeHgW2, with properties calculated at the GGA-PBE level.

Cell lengths 3.7923, 3.7923, 8.7322 Å; angles 90.00, 90.00, 90.00 degrees
Space group I4/mmm (No. 139)
One atom of each set of equivalent atoms:
1 Be 0.0000 0.0000 0.0000 x2
2 Hg 0.0000 0.0000 0.5000 x2
3 W 0.0000 0.5000 0.2500 x4

The density of states at the Fermi level comes out at 0.49 states/eV/atom. The energy relative to the elements is 664 meV/atom.